Entry from Alexandria via LeMat-Bulk: a relaxed structure of YGa2Co2 (PBE). Values from VASP.

Summary:
volume = 80.88 Å³/cell
E_tot = -5.72 eV per atom
energy relative to the elements = -0.3788 eV/atom

```
&SYSTEM
  ibrav = 0, nat = 5, ntyp = 3
/
ATOMIC_SPECIES
Y 88.91 Y.upf
Ga 69.72 Ga.upf
Co 58.93 Co.upf
ATOMIC_POSITIONS crystal
Y 0.0000 0.0000 0.0000
Ga 0.2500 0.7500 0.5000
Ga 0.7500 0.2500 0.5000
Co 0.3892 0.3892 0.0000
Co 0.6108 0.6108 0.0000
CELL_PARAMETERS angstrom
-2.0230 2.0230 4.9408
2.0230 -2.0230 4.9408
2.0230 2.0230 -4.9408
```